# SmHoSc2 (PBE, optimized geometry)
# **Fermi-level density of states**: 6.9 states/eV/f.u.
# **Size of the total moment**: 0.002 μB/cell
# **Formation enthalpy at 0 K**: 0.05 eV/atom
# **V**: 28.180 A^3/atom
data_SmHoSc2
_chemical_formula_sum 'Sm1 Ho1 Sc2'
_space_group_name_H-M_alt 'P 4/m m m'
_space_group_IT_number 123
_space_group_name_Hall '-P 4 2'
_cell_length_a 4.915
_cell_length_b 4.915
_cell_length_c 4.666
_cell_angle_alpha 90.00
_cell_angle_beta 90.00
_cell_angle_gamma 90.00
loop_
_atom_site_label
_atom_site_fract_x
_atom_site_fract_y
_atom_site_fract_z
Sm1 0.000 0.000 0.000
Ho1 0.500 0.500 0.000
Sc1 0.000 0.500 0.500

=====

# Sm4Ho5Sc (PBE, optimized geometry)
# **Fermi-level density of states**: 13.5 states/eV/f.u.
# **Size of the total moment**: 0.000 μB/cell
# **Formation enthalpy at 0 K**: 0.22 eV/atom
# **V**: 32.684 A^3/atom
data_Sm4Ho5Sc
_chemical_formula_sum 'Sm8 Ho10 Sc2'
_space_group_name_H-M_alt 'I 4 m m'
_space_group_IT_number 107
_space_group_name_Hall 'I 4 -2'
_cell_length_a 10.624
_cell_length_b 10.624
_cell_length_c 5.791
_cell_angle_alpha 90.00
_cell_angle_beta 90.00
_cell_angle_gamma 90.00
loop_
_atom_site_label
_atom_site_fract_x
_atom_site_fract_y
_atom_site_fract_z
Sm1 0.000 0.322 0.000
Ho1 0.000 0.000 0.230
Ho2 0.186 0.186 0.513
Sc1 0.000 0.000 0.757